(1)
Compound: AlFe2Rh
Source: the Alexandria database
Functional: PBE
Structure: relaxed

Calculated values
- Space group: I4/mmm (139)

Unit cell a=4.778 b=4.778 c=4.778 alpha=136.01 beta=136.01 gamma=63.97
Positions (direct):
Fe 0.500 0.500 0.000
Al 0.750 0.250 0.500
Rh 0.250 0.750 0.500
Fe 0.000 0.000 0.000

=====

(2)
Compound: AlFe3Rh4
Source: the Alexandria database
Functional: PBE
Structure: relaxed

Calculated values
- Space group: Pmmm (47)

Unit cell a=2.992 b=4.255 c=8.532 alpha=90.00 beta=90.00 gamma=90.00
Positions (direct):
Al 0.500 0.500 0.000
Rh 0.000 0.500 0.754
Fe 0.500 0.000 0.253
Rh 0.000 0.000 0.000
Rh 0.000 0.000 0.500
Fe 0.500 0.500 0.500
Rh 0.000 0.500 0.246
Fe 0.500 0.000 0.747

=====

(3)
Compound: Al5FeRh4
Source: the Alexandria database
Functional: PBE
Structure: relaxed

Calculated values
- Space group: P4/mmm (123)

Unit cell a=2.973 b=2.973 c=14.893 alpha=90.00 beta=90.00 gamma=90.00
Positions (direct):
Al 0.500 0.500 0.910
Al 0.500 0.500 0.295
Rh 0.000 0.000 0.196
Al 0.500 0.500 0.705
Fe 0.000 0.000 0.000
Al 0.500 0.500 0.500
Rh 0.000 0.000 0.399
Rh 0.000 0.000 0.804
Rh 0.000 0.000 0.601
Al 0.500 0.500 0.090

=====

(4)
Compound: Al3FeRh
Source: the Alexandria database
Functional: PBE
Structure: relaxed

Calculated values
- Space group: Pm-3m (221)

Unit cell a=4.346 b=4.346 c=4.346 alpha=90.00 beta=90.00 gamma=90.00
Positions (direct):
Al 0.000 0.000 0.500
Fe 0.000 0.000 0.000
Rh 0.500 0.500 0.500
Al 0.500 0.000 0.000
Al 0.000 0.500 0.000

=====

(5)
Compound: Al2FeRh2
Source: the Alexandria database
Functional: PBE
Structure: relaxed

Calculated values
- Space group: P4/mbm (127)

Unit cell a=6.959 b=6.959 c=2.842 alpha=90.00 beta=90.00 gamma=90.00
Positions (direct):
Al 0.360 0.860 0.000
Rh 0.840 0.340 0.500
Rh 0.660 0.840 0.500
Al 0.860 0.640 0.000
Al 0.640 0.140 0.000
Fe 0.000 0.000 0.000
Fe 0.500 0.500 0.000
Rh 0.160 0.660 0.500
Rh 0.340 0.160 0.500
Al 0.140 0.360 0.000

=====

(6)
Compound: AlFe3Rh12
Source: the Alexandria database
Functional: PBE
Structure: relaxed

Calculated values
- Space group: P4/mmm (123)

Unit cell a=3.815 b=3.815 c=15.187 alpha=90.00 beta=90.00 gamma=90.00
Positions (direct):
Rh 0.500 0.500 0.749
Rh 0.500 0.500 0.000
Al 0.000 0.000 0.000
Rh 0.500 0.000 0.873
Rh 0.000 0.500 0.127
Rh 0.000 0.500 0.375
Rh 0.000 0.500 0.873
Fe 0.000 0.000 0.751
Rh 0.500 0.000 0.375
Rh 0.500 0.000 0.127
Fe 0.000 0.000 0.500
Rh 0.500 0.000 0.625
Rh 0.500 0.500 0.251
Rh 0.500 0.500 0.500
Rh 0.000 0.500 0.625
Fe 0.000 0.000 0.249

=====

no.,DOS at the Fermi energy (states/eV per atom),final energy (eV per atom)
1,0.97,-7.291
2,0.70,-7.632
3,0.34,-6.612
4,0.28,-5.203
5,1.58,-6.504
6,1.18,-7.496